No. 1
An optimized crystal structure of La2CuNi12B3. Source: Alexandria, functional PBE.

a = 6.6876 Å, b = 6.6876 Å, c = 6.6876 Å
α = 66.92°, β = 66.92°, γ = 66.92°
Atoms (fractional coordinates):
La 0.1072 0.1072 0.1072
La 0.8928 0.8928 0.8928
Cu 0.5000 0.5000 0.5000
Ni 0.1084 0.6291 0.6291
Ni 0.2216 0.2216 0.6099
Ni 0.2216 0.6099 0.2216
Ni 0.3709 0.3709 0.8916
Ni 0.3709 0.8916 0.3709
Ni 0.3901 0.7784 0.7784
Ni 0.6099 0.2216 0.2216
Ni 0.6291 0.1084 0.6291
Ni 0.6291 0.6291 0.1084
Ni 0.7784 0.3901 0.7784
Ni 0.7784 0.7784 0.3901
Ni 0.8916 0.3709 0.3709
B 0.0000 0.5000 0.5000
B 0.5000 0.0000 0.5000
B 0.5000 0.5000 0.0000

Total magnetic moment (μB per cell): 0.0
D(E_F) (states/eV per cell): 11.740
ΔE_f (meV per atom): -18



No. 2
An optimized crystal structure of ThMgCu2Sn2. Source: Alexandria, functional PBE.

a = 4.5021 Å, b = 4.5021 Å, c = 7.2424 Å
α = 90.00°, β = 90.00°, γ = 120.00°
Atoms (fractional coordinates):
Th 0.0000 0.0000 0.0000
Mg 0.0000 0.0000 0.5000
Cu 0.3333 0.6667 0.6994
Cu 0.6667 0.3333 0.3006
Sn 0.3333 0.6667 0.2656
Sn 0.6667 0.3333 0.7344

Total magnetic moment (μB per cell): 0.0
D(E_F) (states/eV per cell): 1.314
ΔE_f (meV per atom): -337



No. 3
An optimized crystal structure of HfVAu2. Source: Alexandria, functional PBE.

a = 6.6445 Å, b = 6.6445 Å, c = 6.6445 Å
α = 90.00°, β = 90.00°, γ = 90.00°
Atoms (fractional coordinates):
Hf 0.0000 0.0000 0.0000
Hf 0.0000 0.5000 0.5000
Hf 0.5000 0.0000 0.5000
Hf 0.5000 0.5000 0.0000
V 0.0000 0.0000 0.5000
V 0.0000 0.5000 0.0000
V 0.5000 0.0000 0.0000
V 0.5000 0.5000 0.5000
Au 0.2500 0.2500 0.2500
Au 0.2500 0.2500 0.7500
Au 0.2500 0.7500 0.2500
Au 0.2500 0.7500 0.7500
Au 0.7500 0.2500 0.2500
Au 0.7500 0.2500 0.7500
Au 0.7500 0.7500 0.2500
Au 0.7500 0.7500 0.7500

Total magnetic moment (μB per cell): 12.4
D(E_F) (states/eV per cell): 14.569
Energy above the lowest structure with this stoichiometry (meV per atom): 0
ΔE_f (meV per atom): -191



No. 4
An optimized crystal structure of Pm5SnRh. Source: Alexandria, functional PBE.

a = 6.4885 Å, b = 6.4885 Å, c = 11.5790 Å
α = 103.53°, β = 103.53°, γ = 65.89°
Atoms (fractional coordinates):
Pm 0.0187 0.9813 0.7500
Pm 0.0222 0.4152 0.6425
Pm 0.2160 0.5423 0.9589
Pm 0.4152 0.0222 0.1425
Pm 0.4577 0.7840 0.5411
Pm 0.5423 0.2160 0.4589
Pm 0.5848 0.9778 0.8575
Pm 0.7840 0.4577 0.0411
Pm 0.9778 0.5848 0.3575
Pm 0.9813 0.0187 0.2500
Sn 0.4699 0.5301 0.2500
Sn 0.5301 0.4699 0.7500
Rh 0.0000 0.0000 0.0000
Rh 0.0000 0.0000 0.5000

Total magnetic moment (μB per cell): 0.0
D(E_F) (states/eV per cell): 14.386
ΔE_f (meV per atom): -329



No. 5
An optimized crystal structure of Nd2BePt6Rh. Source: Alexandria, functional PBE.

a = 7.7211 Å, b = 7.7211 Å, c = 7.7211 Å
α = 42.67°, β = 42.67°, γ = 42.67°
Atoms (fractional coordinates):
Nd 0.2073 0.2073 0.2073
Nd 0.7927 0.7927 0.7927
Be 0.0000 0.0000 0.0000
Pt 0.2375 0.2375 0.7234
Pt 0.2375 0.7234 0.2375
Pt 0.2766 0.7625 0.7625
Pt 0.7234 0.2375 0.2375
Pt 0.7625 0.2766 0.7625
Pt 0.7625 0.7625 0.2766
Rh 0.5000 0.5000 0.5000

Total magnetic moment (μB per cell): 0.0
D(E_F) (states/eV per cell): 5.618
ΔE_f (meV per atom): -657



No. 6
An optimized crystal structure of VFeRu. Source: Alexandria, functional PBE.

a = 6.0218 Å, b = 6.0218 Å, c = 6.0218 Å
α = 40.39°, β = 40.39°, γ = 40.39°
Atoms (fractional coordinates):
V 0.0739 0.0739 0.0739
V 0.9261 0.9261 0.9261
Fe 0.2118 0.2118 0.2118
Fe 0.7882 0.7882 0.7882
Ru 0.3734 0.3734 0.3734
Ru 0.6266 0.6266 0.6266

Total magnetic moment (μB per cell): 2.9
D(E_F) (states/eV per cell): 7.428
Energy above the lowest structure with this stoichiometry (meV per atom): 431
ΔE_f (meV per atom): 285



No. 7
An optimized crystal structure of CsTi2GaN. Source: Alexandria, functional PBE.

a = 5.1476 Å, b = 5.1476 Å, c = 4.0333 Å
α = 90.00°, β = 90.00°, γ = 90.00°
Atoms (fractional coordinates):
Cs 0.0000 0.0000 0.0000
Ti 0.0000 0.5000 0.5000
Ti 0.5000 0.0000 0.5000
Ga 0.5000 0.5000 0.5000
N 0.5000 0.5000 0.0000

Total magnetic moment (μB per cell): 3.3
D(E_F) (states/eV per cell): 7.006
Raw formation energy (eV/atom): 1.3883



No. 8
An optimized crystal structure of Dy2Ho9In. Source: Alexandria, functional PBE.

a = 4.9155 Å, b = 4.9155 Å, c = 14.9833 Å
α = 90.00°, β = 90.00°, γ = 90.00°
Atoms (fractional coordinates):
Dy 0.0000 0.0000 0.1674
Dy 0.0000 0.0000 0.8326
Ho 0.0000 0.5000 0.0000
Ho 0.0000 0.5000 0.3381
Ho 0.0000 0.5000 0.6619
Ho 0.5000 0.0000 0.0000
Ho 0.5000 0.0000 0.3381
Ho 0.5000 0.0000 0.6619
Ho 0.5000 0.5000 0.1718
Ho 0.5000 0.5000 0.5000
Ho 0.5000 0.5000 0.8282
In 0.0000 0.0000 0.5000

Total magnetic moment (μB per cell): 0.0
D(E_F) (states/eV per cell): 13.990
ΔE_f (meV per atom): -67



No. 9
An optimized crystal structure of Nd2Ho2Tl5. Source: Alexandria, functional PBE.

a = 9.7826 Å, b = 9.7826 Å, c = 9.7826 Å
α = 77.51°, β = 136.36°, γ = 119.51°
Atoms (fractional coordinates):
Nd 0.0354 0.1282 0.1637
Nd 0.0354 0.3718 0.4072
Nd 0.9646 0.6282 0.5928
Nd 0.9646 0.8718 0.8363
Ho 0.4338 0.4338 0.0000
Ho 0.4338 0.9338 0.5000
Ho 0.5432 0.8119 0.2313
Ho 0.5807 0.3119 0.7687
Tl 0.0697 0.4312 0.9427
Tl 0.0697 0.6270 0.1385
Tl 0.0808 0.0321 0.5487
Tl 0.4834 0.5321 0.4513
Tl 0.4885 0.1270 0.0573
Tl 0.4885 0.9312 0.8615
Tl 0.5196 0.2561 0.3490
Tl 0.5196 0.6706 0.7635
Tl 0.9071 0.1706 0.6510
Tl 0.9071 0.7561 0.2365

Total magnetic moment (μB per cell): 0.0
D(E_F) (states/eV per cell): 15.175
ΔE_f (meV per atom): -169



No. 10
An optimized crystal structure of CrIrRh. Source: Alexandria, functional PBE.

a = 2.6770 Å, b = 3.7259 Å, c = 8.1403 Å
α = 90.00°, β = 90.00°, γ = 90.00°
Atoms (fractional coordinates):
Cr 0.0000 0.0000 0.0000
Cr 0.5000 0.5000 0.5000
Ir 0.0000 0.0000 0.6553
Ir 0.5000 0.5000 0.1553
Rh 0.0000 0.0000 0.3322
Rh 0.5000 0.5000 0.8322

Total magnetic moment (μB per cell): 0.0
D(E_F) (states/eV per cell): 7.201
Energy above the lowest structure with this stoichiometry (meV per atom): 50
ΔE_f (meV per atom): -96



No. 11
An optimized crystal structure of Na5HoPb6. Source: Alexandria, functional PBE.

a = 7.6983 Å, b = 7.6983 Å, c = 9.6018 Å
α = 90.00°, β = 90.00°, γ = 143.14°
Atoms (fractional coordinates):
Na 0.0000 0.0000 0.0000
Na 0.3253 0.6747 0.5000
Na 0.3326 0.6674 0.0000
Na 0.6674 0.3326 0.0000
Na 0.6747 0.3253 0.5000
Ho 0.0000 0.0000 0.5000
Pb 0.1642 0.8358 0.2530
Pb 0.1642 0.8358 0.7470
Pb 0.5000 0.5000 0.2625
Pb 0.5000 0.5000 0.7375
Pb 0.8358 0.1642 0.2530
Pb 0.8358 0.1642 0.7470

Total magnetic moment (μB per cell): 0.0
D(E_F) (states/eV per cell): 6.146
ΔE_f (meV per atom): -179



No. 12
An optimized crystal structure of CdCuW. Source: Alexandria, functional PBE.

a = 2.8204 Å, b = 2.8204 Å, c = 7.0818 Å
α = 90.00°, β = 90.00°, γ = 120.00°
Atoms (fractional coordinates):
Cd 0.0000 0.0000 0.0000
Cu 0.6667 0.3333 0.3296
W 0.3333 0.6667 0.6336

Total magnetic moment (μB per cell): 0.0
D(E_F) (states/eV per cell): 1.982
Energy above the lowest structure with this stoichiometry (meV per atom): 43
ΔE_f (meV per atom): 431



Repeat the twelfth record exactly.
An optimized crystal structure of CdCuW. Source: Alexandria, functional PBE.

a = 2.8204 Å, b = 2.8204 Å, c = 7.0818 Å
α = 90.00°, β = 90.00°, γ = 120.00°
Atoms (fractional coordinates):
Cd 0.0000 0.0000 0.0000
Cu 0.6667 0.3333 0.3296
W 0.3333 0.6667 0.6336

Total magnetic moment (μB per cell): 0.0
D(E_F) (states/eV per cell): 1.982
Energy above the lowest structure with this stoichiometry (meV per atom): 43
ΔE_f (meV per atom): 431